# CeCoC2 | Alexandria | GGA-PBE | relaxed
# Formation enthalpy at 0 K ... 0.23 eV per atom
data_CeCoC2
_chemical_formula_sum 'Ce3 Co3 C6'
_space_group_name_H-M_alt 'R -3 m'
_space_group_IT_number 166
_space_group_name_Hall '-R 3 2"'
_cell_length_a 3.4230
_cell_length_b 3.4230
_cell_length_c 13.5441
_cell_angle_alpha 90.00
_cell_angle_beta 90.00
_cell_angle_gamma 120.00
loop_
_atom_site_label
_atom_site_fract_x
_atom_site_fract_y
_atom_site_fract_z
Ce1 0.0000 0.0000 0.0000
Co1 0.0000 0.0000 0.5000
C1 0.0000 0.0000 0.2166

---

# Ce6CoHg2C | Alexandria | GGA-PBE | relaxed
# Formation enthalpy at 0 K ... -0.16 eV per atom
data_Ce6CoHg2C
_chemical_formula_sum 'Ce6 Co1 Hg2 C1'
_space_group_name_H-M_alt 'P -1'
_space_group_IT_number 2
_cell_length_a 6.9639
_cell_length_b 6.9669
_cell_length_c 7.2317
_cell_angle_alpha 118.65
_cell_angle_beta 118.77
_cell_angle_gamma 90.03
loop_
_space_group_symop_operation_xyz
'x,y,z'
'-x,-y,-z'
loop_
_atom_site_label
_atom_site_fract_x
_atom_site_fract_y
_atom_site_fract_z
Ce1 0.1917 0.2017 0.4981
Ce2 0.2356 0.7340 0.9680
Ce3 0.2968 0.6929 0.4991
Co1 0.5000 0.0000 0.5000
Hg1 0.2497 0.2507 0.0005
C1 0.0000 0.5000 0.5000

---

# Ce6Co2CI3 | Alexandria | GGA-PBE | relaxed
# Total energy ... -0.43135 Ry/atom
data_Ce6Co2CI3
_chemical_formula_sum 'Ce12 Co4 C2 I6'
_space_group_name_H-M_alt 'C 1 2/m 1'
_space_group_IT_number 12
_cell_length_a 6.7574
_cell_length_b 12.1252
_cell_length_c 8.1294
_cell_angle_alpha 90.00
_cell_angle_beta 105.24
_cell_angle_gamma 90.00
loop_
_space_group_symop_operation_xyz
'x,y,z'
'-x,-y,-z'
'-x,y,-z'
'x,-y,z'
'x+1/2,y+1/2,z'
'-x+1/2,-y+1/2,-z'
'-x+1/2,y+1/2,-z'
'x+1/2,-y+1/2,z'
loop_
_atom_site_label
_atom_site_fract_x
_atom_site_fract_y
_atom_site_fract_z
Ce1 0.2280 0.1563 0.1707
Ce2 0.2486 0.0000 0.8179
Co1 0.0000 0.3344 0.0000
C1 0.0000 0.0000 0.0000
I1 0.0000 0.1716 0.5000
I2 0.0000 0.5000 0.5000

---

# Ce3CoC2N6 | Alexandria | GGA-PBE | relaxed
# Total energy ... -0.61327 Ry/atom
data_Ce3CoC2N6
_chemical_formula_sum 'Ce3 Co1 C2 N6'
_space_group_name_H-M_alt 'P -3 m 1'
_space_group_IT_number 164
_space_group_name_Hall '-P 3 2"'
_cell_length_a 5.2919
_cell_length_b 5.2919
_cell_length_c 6.2323
_cell_angle_alpha 90.00
_cell_angle_beta 90.00
_cell_angle_gamma 120.00
loop_
_atom_site_label
_atom_site_fract_x
_atom_site_fract_y
_atom_site_fract_z
Ce1 0.0000 0.0000 0.0000
Ce2 0.3333 0.6667 0.6544
Co1 0.0000 0.0000 0.5000
C1 0.3333 0.6667 0.2567
N1 0.1832 0.3665 0.2700

---

# CeCo2PC | Alexandria | GGA-PBE | relaxed
# Formation enthalpy at 0 K ... -0.63 eV per atom
data_CeCo2PC
_chemical_formula_sum 'Ce4 Co8 P4 C4'
_space_group_name_H-M_alt 'C m c m'
_space_group_IT_number 63
_space_group_name_Hall '-C 2c 2'
_cell_length_a 3.7419
_cell_length_b 10.5344
_cell_length_c 6.6574
_cell_angle_alpha 90.00
_cell_angle_beta 90.00
_cell_angle_gamma 90.00
loop_
_atom_site_label
_atom_site_fract_x
_atom_site_fract_y
_atom_site_fract_z
Ce1 0.0000 0.0471 0.2500
Co1 0.0000 0.3306 0.0532
P1 0.0000 0.2249 0.7500
C1 0.0000 0.5000 0.0000

---

# Ce6CoPb2C | Alexandria | GGA-PBE | relaxed
# Formation enthalpy at 0 K ... -0.33 eV per atom
data_Ce6CoPb2C
_chemical_formula_sum 'Ce6 Co1 Pb2 C1'
_space_group_name_H-M_alt 'P 4/m m m'
_space_group_IT_number 123
_space_group_name_Hall '-P 4 2'
_cell_length_a 5.0260
_cell_length_b 5.0260
_cell_length_c 10.3994
_cell_angle_alpha 90.00
_cell_angle_beta 90.00
_cell_angle_gamma 90.00
loop_
_atom_site_label
_atom_site_fract_x
_atom_site_fract_y
_atom_site_fract_z
Ce1 0.0000 0.0000 0.2336
Ce2 0.0000 0.5000 0.0000
Ce3 0.0000 0.5000 0.5000
Co1 0.0000 0.0000 0.5000
Pb1 0.5000 0.5000 0.2457
C1 0.0000 0.0000 0.0000

---

# Ce2CoSiC | Alexandria | GGA-PBE | relaxed
# Total energy ... -0.52670 Ry/atom
data_Ce2CoSiC
_chemical_formula_sum 'Ce4 Co2 Si2 C2'
_space_group_name_H-M_alt 'P 1 21/m 1'
_space_group_IT_number 11
_cell_length_a 6.4636
_cell_length_b 3.8685
_cell_length_c 8.0785
_cell_angle_alpha 90.00
_cell_angle_beta 111.99
_cell_angle_gamma 90.00
loop_
_space_group_symop_operation_xyz
'x,y,z'
'-x,-y,-z'
'-x,y+1/2,-z'
'x,-y+1/2,z'
loop_
_atom_site_label
_atom_site_fract_x
_atom_site_fract_y
_atom_site_fract_z
Ce1 0.1844 0.2500 0.4109
Ce2 0.2458 0.7500 0.0223
Co1 0.2247 0.2500 0.7248
Si1 0.4231 0.7500 0.7201
C1 0.0076 0.7500 0.1894

---

# CeTa2CoC4 | Alexandria | GGA-PBE | relaxed
# Formation enthalpy at 0 K ... -0.31 eV per atom
data_CeTa2CoC4
_chemical_formula_sum 'Ce4 Ta8 Co4 C16'
_space_group_name_H-M_alt 'C m c m'
_space_group_IT_number 63
_space_group_name_Hall '-C 2c 2'
_cell_length_a 3.2270
_cell_length_b 11.0200
_cell_length_c 10.8469
_cell_angle_alpha 90.00
_cell_angle_beta 90.00
_cell_angle_gamma 90.00
loop_
_atom_site_label
_atom_site_fract_x
_atom_site_fract_y
_atom_site_fract_z
Ce1 0.0000 0.1005 0.2500
Ta1 0.0000 0.3689 0.0472
Co1 0.0000 0.1636 0.7500
C1 0.0000 0.0000 0.0000
C2 0.0000 0.2666 0.6168
C3 0.0000 0.4268 0.2500

---

Number 1: N(E_F) 0.61 states/eV/atom, magnetic moment 0.00 Bohr magnetons per cell. Number 2: N(E_F) 2.75 states/eV/atom, magnetic moment 3.75 Bohr magnetons per cell. Number 3: N(E_F) 2.19 states/eV/atom, magnetic moment 10.45 Bohr magnetons per cell. Number 4: N(E_F) 1.19 states/eV/atom, magnetic moment 3.37 Bohr magnetons per cell. Number 5: N(E_F) 1.16 states/eV/atom, magnetic moment 0.00 Bohr magnetons per cell. Number 6: N(E_F) 2.26 states/eV/atom, magnetic moment 3.85 Bohr magnetons per cell. Number 7: N(E_F) 0.88 states/eV/atom, magnetic moment 0.00 Bohr magnetons per cell. Number 8: N(E_F) 0.73 states/eV/atom, magnetic moment 0.00 Bohr magnetons per cell.